! LaTaN2O PBE optimized geometry; values from VASP
! Symmetry: P6_3cm (185)
! Magnetic moment: 0.0001 μB/atom
! E_tot: -45.33 eV/f.u.
! Density: 8.06 Mg/m³
&SYSTEM
  ibrav = 0, nat = 30, ntyp = 4
/
ATOMIC_SPECIES
Ta 180.95 Ta.upf
N 14.01 N.upf
La 138.91 La.upf
O 16.00 O.upf
ATOMIC_POSITIONS crystal
Ta 0.666 0.666 0.001
Ta 0.000 0.666 0.501
Ta 0.000 0.334 0.001
Ta 0.334 0.334 0.501
Ta 0.666 0.000 0.501
Ta 0.334 0.000 0.001
N 0.000 0.353 0.849
N 0.687 0.687 0.154
N 0.000 0.313 0.154
N 0.313 0.000 0.154
N 0.313 0.313 0.654
N 0.000 0.647 0.349
N 0.353 0.000 0.849
N 0.647 0.000 0.349
N 0.687 0.000 0.654
N 0.647 0.647 0.849
N 0.000 0.687 0.654
N 0.353 0.353 0.349
La 0.000 0.000 0.271
La 0.667 0.333 0.239
La 0.333 0.667 0.739
La 0.333 0.667 0.239
La 0.000 0.000 0.771
La 0.667 0.333 0.739
O 0.000 0.000 0.486
O 0.667 0.333 0.512
O 0.333 0.667 0.012
O 0.000 0.000 0.986
O 0.333 0.667 0.512
O 0.667 0.333 0.012
CELL_PARAMETERS angstrom
-3.116 5.567 0.396
-1.602 -4.840 3.855
8.397 4.086 8.620